A:
Material: MnP4O12
Method: DFT, PBEsol
State: optimized geometry

Cell lengths 5.020, 13.268, 7.269 Å; angles 90.00, 101.57, 90.00 degrees
Sites, in units of the cell vectors:
Mn 0.007 0.000 0.007
Mn 0.993 0.500 0.993
P 0.275 0.596 0.368
P 0.382 0.947 0.404
P 0.470 0.364 0.935
P 0.480 0.136 0.944
P 0.520 0.636 0.056
P 0.530 0.864 0.065
P 0.618 0.447 0.596
P 0.725 0.096 0.632
O 0.126 0.509 0.248
O 0.129 0.689 0.394
O 0.132 0.985 0.264
O 0.197 0.379 0.990
O 0.210 0.121 0.002
O 0.284 0.577 0.941
O 0.300 0.927 0.956
O 0.346 0.897 0.576
O 0.421 0.545 0.560
O 0.442 0.751 0.019
O 0.447 0.377 0.718
O 0.459 0.119 0.729
O 0.541 0.619 0.271
O 0.553 0.877 0.282
O 0.558 0.251 0.981
O 0.579 0.045 0.440
O 0.654 0.397 0.424
O 0.700 0.427 0.044
O 0.716 0.077 0.059
O 0.790 0.621 0.998
O 0.803 0.879 0.010
O 0.868 0.485 0.736
O 0.871 0.189 0.606
O 0.874 0.009 0.752

B:
Material: MnP4O12
Method: DFT, PBEsol
State: optimized geometry

Cell lengths 7.118, 7.118, 9.515 Å; angles 111.34, 111.34, 68.79 degrees
Sites, in units of the cell vectors:
Mn 0.000 0.500 0.000
Mn 0.500 0.000 0.500
P 0.174 0.195 0.695
P 0.195 0.174 0.195
P 0.245 0.754 0.968
P 0.246 0.755 0.532
P 0.754 0.245 0.468
P 0.755 0.246 0.032
P 0.805 0.826 0.805
P 0.826 0.805 0.305
O 0.025 0.702 0.424
O 0.034 0.838 0.836
O 0.158 0.691 0.066
O 0.162 0.966 0.664
O 0.167 0.314 0.861
O 0.186 0.370 0.160
O 0.298 0.975 0.076
O 0.309 0.842 0.434
O 0.314 0.167 0.361
O 0.370 0.186 0.660
O 0.378 0.585 0.602
O 0.415 0.622 0.898
O 0.585 0.378 0.102
O 0.622 0.415 0.398
O 0.630 0.814 0.340
O 0.686 0.833 0.639
O 0.691 0.158 0.566
O 0.702 0.025 0.924
O 0.814 0.630 0.840
O 0.833 0.686 0.139
O 0.838 0.034 0.336
O 0.842 0.309 0.934
O 0.966 0.162 0.164
O 0.975 0.298 0.576

Calculated values
DOS(E_F) = 0.0282 states/eV/atom

A is preferred energetically. Next in line: 2.8 kJ/mol of atoms higher.

A:
Material: MgTc
Method: DFT, PBEsol
State: optimized geometry

Cell lengths 4.561, 7.379, 7.379 Å; angles 22.27, 90.00, 90.00 degrees
Sites, in units of the cell vectors:
Mg 0.000 0.000 0.000
Mg 0.000 0.332 0.332
Mg 0.500 0.782 0.782
Tc 0.000 0.663 0.663
Tc 0.500 0.110 0.110
Tc 0.500 0.464 0.464

Calculated values
DOS(E_F) = 0.9334 states/eV/atom

B:
Material: MgTc
Method: DFT, PBEsol
State: optimized geometry

Cell lengths 4.402, 4.402, 4.402 Å; angles 60.00, 60.00, 60.00 degrees
Sites, in units of the cell vectors:
Mg 0.125 0.125 0.125
Mg 0.875 0.875 0.875
Tc 0.375 0.375 0.375
Tc 0.625 0.625 0.625

Calculated values
DOS(E_F) = 0.2851 states/eV/atom

B is preferred energetically. Next in line: 16.1 kJ/mol of atoms higher.

A:
Material: CuMo2Os
Method: DFT, PBEsol
State: optimized geometry

Cell lengths 3.796, 3.796, 3.871 Å; angles 90.00, 90.00, 90.00 degrees
Sites, in units of the cell vectors:
Cu 0.000 0.000 0.000
Mo 0.000 0.500 0.500
Mo 0.500 0.000 0.500
Os 0.500 0.500 0.000

Calculated values
DOS(E_F) = 0.6539 states/eV/atom

B:
Material: CuMo2Os
Method: DFT, PBEsol
State: optimized geometry

Cell lengths 2.761, 3.786, 5.415 Å; angles 90.00, 90.00, 90.00 degrees
Sites, in units of the cell vectors:
Cu 0.000 0.000 0.000
Mo 0.000 0.000 0.514
Mo 0.500 0.500 0.233
Os 0.500 0.500 0.753

Calculated values
DOS(E_F) = 0.7575 states/eV/atom

A is preferred energetically. Next in line: 9.2 kJ/mol of atoms higher.

A:
Material: BeAg2Te
Method: DFT, PBEsol
State: optimized geometry

Cell lengths 3.167, 3.712, 6.330 Å; angles 90.00, 90.27, 90.00 degrees
Sites, in units of the cell vectors:
Be 0.000 0.000 0.000
Ag 0.500 0.500 0.848
Ag 0.999 0.000 0.627
Te 0.002 0.500 0.262

Calculated values
DOS(E_F) = 0.2343 states/eV/atom

B:
Material: BeAg2Te
Method: DFT, PBEsol
State: optimized geometry

Cell lengths 6.514, 6.514, 6.514 Å; angles 33.84, 33.84, 33.84 degrees
Sites, in units of the cell vectors:
Be 0.000 0.000 0.000
Ag 0.491 0.491 0.491
Ag 0.735 0.735 0.735
Te 0.272 0.272 0.272

Calculated values
DOS(E_F) = 0.2814 states/eV/atom

A is preferred energetically. Next in line: 8.9 kJ/mol of atoms higher.

A:
Material: BaOsBr2
Method: DFT, PBEsol
State: optimized geometry

Cell lengths 5.021, 5.021, 5.021 Å; angles 69.50, 69.50, 69.50 degrees
Sites, in units of the cell vectors:
Ba 0.000 0.000 0.000
Os 0.500 0.500 0.500
Br 0.287 0.287 0.287
Br 0.713 0.713 0.713

Calculated values
DOS(E_F) = 0.9221 states/eV/atom

B:
Material: BaOsBr2
Method: DFT, PBEsol
State: optimized geometry

Cell lengths 5.392, 5.392, 5.392 Å; angles 60.00, 60.00, 60.00 degrees
Sites, in units of the cell vectors:
Ba 0.000 0.000 0.000
Os 0.750 0.750 0.750
Br 0.250 0.250 0.250
Br 0.500 0.500 0.500

Calculated values
DOS(E_F) = 1.5215 states/eV/atom

A is preferred energetically. Next in line: 58.3 kJ/mol of atoms higher.

A:
Material: BeAuCl2
Method: DFT, PBEsol
State: optimized geometry

Cell lengths 5.412, 5.412, 6.841 Å; angles 121.01, 121.01, 31.45 degrees
Sites, in units of the cell vectors:
Be 0.000 0.000 0.000
Au 0.268 0.268 0.828
Cl 0.520 0.520 0.764
Cl 0.592 0.592 0.255

Calculated values
DOS(E_F) = 0.1885 states/eV/atom

B:
Material: BeAuCl2
Method: DFT, PBEsol
State: optimized geometry

Cell lengths 9.630, 9.630, 9.630 Å; angles 18.12, 18.12, 18.12 degrees
Sites, in units of the cell vectors:
Be 0.000 0.000 0.000
Au 0.500 0.500 0.500
Cl 0.288 0.288 0.288
Cl 0.712 0.712 0.712

Calculated values
DOS(E_F) = 0.1396 states/eV/atom

B is preferred energetically. Next in line: 19.2 kJ/mol of atoms higher.